# NpCoF6 | Alexandria | PBE with a Hubbard U | relaxed
data_NpCoF6
_chemical_formula_sum 'Np2 Co2 F12'
_cell_length_a 5.417
_cell_length_b 8.602
_cell_length_c 5.326
_cell_angle_alpha 90.00
_cell_angle_beta 102.20
_cell_angle_gamma 90.00
_space_group_name_H-M_alt 'C 1 2/m 1'
_space_group_IT_number 12
loop_
_space_group_symop_operation_xyz
'x,y,z'
'-x,-y,-z'
'-x,y,-z'
'x,-y,z'
'x+1/2,y+1/2,z'
'-x+1/2,-y+1/2,-z'
'-x+1/2,y+1/2,-z'
'x+1/2,-y+1/2,z'
loop_
_atom_site_label
_atom_site_type_symbol
_atom_site_fract_x
_atom_site_fract_y
_atom_site_fract_z
Np1 Np 0.000 0.000 0.000
Co1 Co 0.000 0.500 0.500
F1 F 0.225 0.347 0.757
F2 F 0.240 0.000 0.720
# * total magnetization: 12.00 Bohr magnetons per cell
# * DFT total energy: -52.5 eV per formula unit